Compound: DyTmZrSc
Source: Alexandria via LeMat-Bulk
Functional: PBE
Structure: relaxed

```
DyTmZrSc
1.0
4.746 0.000 0.000
0.000 4.746 0.000
0.000 0.000 9.484
Dy Tm Zr Sc
2 2 2 2
Cartesian
0.000 0.000 0.000 Dy
2.373 2.373 4.742 Dy
0.000 2.373 7.113 Tm
2.373 0.000 2.371 Tm
0.000 2.373 2.371 Zr
2.373 0.000 7.113 Zr
0.000 0.000 4.742 Sc
2.373 2.373 0.000 Sc
```

Calculated values
* total magnetic moment: 0.00 μB/f.u.
* calculated formation energy: 0.07 eV per atom
* energy: -47.33 eV per cell